# LaPr2Ta2N6

A relaxed structure of LaPr2Ta2N6 (PBE, OQMD).

Lattice parameters (Å, degrees): 10.374 10.374 10.374 157.43 157.43 32.13
Positions (direct):
La 0.000 0.000 0.000
N 0.301 0.301 0.000
N 0.699 0.699 0.000
N 0.586 0.086 0.500
N 0.914 0.414 0.500
N 0.086 0.586 0.500
N 0.414 0.914 0.500
Pr 0.180 0.180 0.000
Pr 0.820 0.820 0.000
Ta 0.398 0.398 0.000
Ta 0.602 0.602 0.000

Values from the calculation:
* space group: I4/mmm, No. 139
* DFT total energy: -9.378 eV per atom

=====

# La2Re2N5

A relaxed structure of La2Re2N5 (PBE, OQMD).

Lattice parameters (Å, degrees): 3.975 3.975 7.538 90.00 90.00 90.00
Positions (direct):
La 0.000 0.000 0.000
La 0.000 0.000 0.500
N 0.500 0.000 0.227
N 0.000 0.500 0.227
N 0.500 0.500 0.500
N 0.500 0.000 0.773
N 0.000 0.500 0.773
Re 0.500 0.500 0.246
Re 0.500 0.500 0.754

Values from the calculation:
* space group: P4/mmm, No. 123
* DFT total energy: -9.266 eV per atom

=====

Density, respectively: 8.758; 10.044 g cm⁻³.